Record 1
Ru2Cl3: optimized geometry, GGA-PBE.

Geometry as extended XYZ:
```
5
Lattice="2.220 -3.845 0.000 2.220 3.845 0.000 0.000 0.000 7.115" Properties=species:S:1:pos:R:3 pbc="T T T"
Ru 2.220 -1.282 0.610
Ru 2.220 1.282 6.505
Cl 0.000 0.000 0.000
Cl 2.220 -1.282 5.107
Cl 2.220 1.282 2.008
```

Summary:
- formation energy (no corrections) (eV/atom) = 0.491
- space-group type = P-3m1
- E_tot (eV/atom) = -4.33
- crystal system = trigonal


Record 2
RuCl: optimized geometry, GGA-PBE.

Geometry as extended XYZ:
```
8
Lattice="-0.123 1.057 2.721 -4.350 0.062 -0.221 -0.356 -10.506 4.066" Properties=species:S:1:pos:R:3 pbc="T T T"
Ru -0.077 -2.284 0.884
Ru -2.431 -7.506 2.807
Ru -0.005 -0.158 0.061
Ru -2.359 -5.380 1.984
Cl -0.279 -8.227 3.184
Cl -2.276 -2.943 1.041
Cl -0.239 -4.699 3.383
Cl -2.592 -9.920 5.306
```

Summary:
- E above lowest polymorph (eV per atom) = 0.443
- formation energy (no corrections) (eV/atom) = 0.508
- space-group type = Amm2
- E_tot (eV/atom) = -5.05
- crystal system = orthorhombic


Record 3
Ru2Cl: optimized geometry, GGA-PBE.

Geometry as extended XYZ:
```
6
Lattice="0.371 -2.776 3.624 2.032 -0.518 4.072 -7.967 5.056 4.057" Properties=species:S:1:pos:R:3 pbc="T T T"
Ru -1.705 0.363 4.492
Ru -2.250 -0.110 8.895
Ru -3.315 1.871 2.857
Ru -3.859 1.399 7.260
Cl -6.486 3.910 4.345
Cl 0.922 -2.148 7.408
```

Summary:
- E above lowest polymorph (eV per atom) = 0.000
- formation energy (no corrections) (eV/atom) = 0.209
- space-group type = C2/m
- E_tot (eV/atom) = -6.59
- crystal system = monoclinic


Record 4
Ru4Cl: optimized geometry, GGA-PBE.

Geometry as extended XYZ:
```
5
Lattice="-2.701 2.701 2.701 2.701 -2.701 2.701 2.701 2.701 -2.701" Properties=species:S:1:pos:R:3 pbc="T T T"
Ru -1.351 1.351 1.351
Ru 1.351 1.351 1.351
Ru 1.351 -1.351 1.351
Ru 1.351 1.351 -1.351
Cl 0.000 0.000 0.000
```

Summary:
- E above lowest polymorph (eV per atom) = 0.596
- formation energy (no corrections) (eV/atom) = 1.372
- space-group type = Im-3m
- E_tot (eV/atom) = -6.42
- crystal system = cubic


Record 5
RuCl: optimized geometry, GGA-PBE.

Geometry as extended XYZ:
```
4
Lattice="5.790 -0.015 0.000 3.596 4.538 0.000 -4.693 -2.261 2.527" Properties=species:S:1:pos:R:3 pbc="T T T"
Cl 0.000 0.000 0.000
Cl 1.798 2.269 1.264
Ru 4.693 2.261 0.000
Ru 2.895 -0.008 1.264
```

Summary:
- E above lowest polymorph (eV per atom) = 0.884
- formation energy (no corrections) (eV/atom) = 0.949
- space-group type = I4_1/amd
- E_tot (eV/atom) = -4.61
- crystal system = tetragonal


Record 6
RuCl: optimized geometry, GGA-PBE.

Geometry as extended XYZ:
```
2
Lattice="3.039 0.006 0.000 -1.694 2.523 0.000 0.000 0.000 4.091" Properties=species:S:1:pos:R:3 pbc="T T T"
Cl 0.000 0.000 0.000
Ru 0.673 1.265 2.046
```

Summary:
- E above lowest polymorph (eV per atom) = 0.669
- formation energy (no corrections) (eV/atom) = 0.733
- space-group type = Cmmm
- E_tot (eV/atom) = -4.83
- crystal system = orthorhombic


Record 7
Ru5Cl4: optimized geometry, GGA-PBE.

Geometry as extended XYZ:
```
18
Lattice="-4.521 5.490 0.323 -2.147 -6.225 -2.707 -1.916 -1.928 5.953" Properties=species:S:1:pos:R:3 pbc="T T T"
Ru -1.878 -4.537 -0.275
Ru -2.803 -0.738 0.657
Ru -3.424 3.094 1.699
Ru -2.185 -3.616 3.521
Ru -5.781 -1.925 2.912
Ru -3.013 0.468 4.577
Ru -3.730 1.585 -0.687
Ru -3.896 -3.284 1.279
Ru -2.938 -2.320 -1.697
Ru -4.688 0.621 2.289
Cl 0.000 0.000 0.000
Cl -0.958 -0.964 2.977
Cl -1.209 -2.597 0.568
Cl -4.881 -0.967 -0.086
Cl -2.015 1.384 1.598
Cl -2.854 -5.556 2.678
Cl -3.703 -1.696 3.655
Cl -4.422 2.179 4.678
```

Summary:
- E above lowest polymorph (eV per atom) = 0.336
- formation energy (no corrections) (eV/atom) = 0.953
- space-group type = P6_3/mcm
- E_tot (eV/atom) = -5.02
- crystal system = hexagonal


Record 8
Ru2Cl: optimized geometry, GGA-PBE.

Geometry as extended XYZ:
```
6
Lattice="-3.437 -3.675 -2.026 -3.381 -1.563 -3.943 3.339 -4.323 -4.667" Properties=species:S:1:pos:R:3 pbc="T T T"
Ru -0.947 -3.284 -3.647
Ru -0.147 -5.095 -5.619
Ru 0.958 -1.801 -1.957
Ru -4.569 -4.448 -5.034
Cl -3.568 -9.030 -10.054
Cl -2.745 -6.618 -7.372
```

Summary:
- E above lowest polymorph (eV per atom) = 0.427
- formation energy (no corrections) (eV/atom) = 0.636
- space-group type = Cm
- E_tot (eV/atom) = -6.16
- crystal system = monoclinic